Computed, not measured: an optimized crystal structure of Sr4IrCl at the PBE-GGA level of DFT.

Unit cell a=9.878 b=9.878 c=7.513 alpha=104.16 beta=104.16 gamma=128.58
Fractional positions:
1 Sr 0.051 0.440 0.728
2 Sr 0.173 0.318 0.254
3 Sr 0.318 0.173 0.754
4 Sr 0.440 0.051 0.228
5 Sr 0.560 0.949 0.772
6 Sr 0.682 0.827 0.246
7 Sr 0.827 0.682 0.746
8 Sr 0.949 0.560 0.272
9 Ir 0.184 0.816 0.750
10 Ir 0.816 0.184 0.250
11 Cl 0.053 0.947 0.250
12 Cl 0.947 0.053 0.750

Results
DOS at the Fermi energy, states/eV/f.u.: 3.9
E_form (uncorrected), eV/atom: -0.679
Final energy, eV per atom: -3.58